Entry 1:
Compound: TlAgPSe3
Source: the Alexandria database
Functional: SCAN
Structure: PBEsol geometry

Computed properties:
energy relative to the elements, uncorrected	-0.267	eV per atom
symmetry	P2_1/c
ρ	6.5	g/cm3

Cell: 9.5542 10.0302 12.4372 Å, 90.00 90.00 96.41°
Closest atoms and distances in Å follow each position.
Element x y z (fractional)
Tl 0.6150 0.6789 0.8212  6 Se 3.21-3.38
Se 0.5469 0.3796 0.6966  1 P 2.24
P 0.4947 0.9507 0.0814  3 Se 2.19-2.21, 1 P 2.25
Se 0.7308 0.0652 0.8734  1 P 2.21
Ag 0.2289 0.6747 0.1840  4 Se 2.63-2.71
Se 0.4429 0.7349 0.5910  1 P 2.22
P 0.5873 0.4352 0.5237  3 Se 2.21-2.24, 1 P 2.30
Ag 0.7914 0.2086 0.0531  4 Se 2.58-2.72
Ag 0.2086 0.7914 0.9469  4 Se 2.58-2.72
P 0.0053 0.0493 0.5814  3 Se 2.19-2.21, 1 P 2.25
Se 0.5571 0.2651 0.4090  1 P 2.22
Ag 0.7086 0.7914 0.5531  4 Se 2.58-2.72
Se 0.1052 0.1021 0.3100  1 P 2.21
Se 0.7042 0.4484 0.9996  1 P 2.21
Se 0.9118 0.2385 0.5708  1 P 2.19
Tl 0.3811 0.9186 0.3830  4 Se 3.11-3.37, 1 Ag 3.22
Tl 0.8850 0.3211 0.3212  6 Se 3.21-3.38
Se 0.2958 0.5516 0.0004  1 P 2.21
Se 0.0882 0.7615 0.4292  1 P 2.19
Se 0.2308 0.0652 0.6266  1 P 2.21
Ag 0.2914 0.2086 0.4469  4 Se 2.58-2.72
P 0.9947 0.9507 0.4186  3 Se 2.19-2.21, 1 P 2.25
Ag 0.7289 0.6747 0.3160  4 Se 2.63-2.71
Se 0.2692 0.9348 0.1266  1 P 2.21
Se 0.9429 0.7349 0.9090  1 P 2.22
P 0.4127 0.5648 0.4763  3 Se 2.21-2.24, 1 P 2.30
Se 0.4531 0.6204 0.3034  1 P 2.24
Tl 0.1189 0.0814 0.8830  4 Se 3.11-3.37, 1 Ag 3.22
Tl 0.8811 0.9186 0.1170  4 Se 3.11-3.37, 1 Ag 3.22
Tl 0.1150 0.6789 0.6788  6 Se 3.21-3.38
Se 0.2042 0.4484 0.5004  1 P 2.21
Ag 0.2711 0.3253 0.6840  4 Se 2.63-2.71
Se 0.0571 0.2651 0.0910  1 P 2.22
Se 0.3948 0.8979 0.8099  1 P 2.21
P 0.0873 0.4352 0.9763  3 Se 2.21-2.24, 1 P 2.30
Se 0.0469 0.3796 0.8034  1 P 2.24
Tl 0.6189 0.0814 0.6170  4 Se 3.11-3.37, 1 Ag 3.22
Se 0.4118 0.2385 0.9292  1 P 2.19
P 0.9127 0.5648 0.0237  3 Se 2.21-2.24, 1 P 2.30
Se 0.9531 0.6204 0.1966  1 P 2.24
Se 0.7692 0.9348 0.3734  1 P 2.21
Tl 0.3850 0.3211 0.1788  6 Se 3.21-3.38
Se 0.7958 0.5516 0.4996  1 P 2.21
P 0.5053 0.0493 0.9186  3 Se 2.19-2.21, 1 P 2.25
Se 0.5882 0.7615 0.0708  1 P 2.19
Se 0.8948 0.8979 0.6901  1 P 2.21
Ag 0.7711 0.3253 0.8160  4 Se 2.63-2.71
Se 0.6052 0.1021 0.1900  1 P 2.21



Entry 2:
Compound: Sr3Sn4Bi
Source: the Alexandria database
Functional: SCAN
Structure: PBEsol geometry

Computed properties:
symmetry	I4/mcm
ρ	6.4	g/cm3
ΔE_f	-0.6878	eV per atom

Cell: 8.8544 8.8790 8.8544 Å, 60.09 90.00 119.91°
Closest atoms and distances in Å follow each position.
Element x y z (fractional)
Sr 0.1605 0.0000 0.6605  2 Bi 3.33, 6 Sn 3.42-3.60
Sn 0.3337 0.3789 0.1663  3 Sn 2.97-3.06
Sr 0.3395 0.0000 0.1605  2 Bi 3.33, 6 Sn 3.42-3.60
Sr 0.8395 0.0000 0.3395  2 Bi 3.33, 6 Sn 3.42-3.60
Sn 0.9548 0.6211 0.5452  3 Sn 2.97-3.06
Bi 0.5000 0.0000 0.5000  6 Sr 3.15-3.33
Bi 0.0000 0.0000 0.0000  6 Sr 3.15-3.33
Sn 0.4548 0.6211 0.3337  3 Sn 2.97-3.06
Sr 0.7500 0.5000 0.2500  2 Bi 3.15, 8 Sn 3.48
Sn 0.8337 0.3789 0.9548  3 Sn 2.97-3.06
Sr 0.6605 0.0000 0.8395  2 Bi 3.33, 6 Sn 3.42-3.60
Sn 0.6663 0.6211 0.8337  3 Sn 2.97-3.06
Sn 0.0452 0.3789 0.4548  3 Sn 2.97-3.06
Sn 0.5452 0.3789 0.6663  3 Sn 2.97-3.06
Sn 0.1663 0.6211 0.0452  3 Sn 2.97-3.06
Sr 0.2500 0.5000 0.7500  2 Bi 3.15, 8 Sn 3.48



Entry 3:
Compound: Hf2Fe3Si
Source: the Alexandria database
Functional: SCAN
Structure: PBEsol geometry

Computed properties:
energy relative to the elements, uncorrected	-0.559	eV per atom
symmetry	P6_3/mmc
ρ	11.3	g/cm3

Cell: 4.8912 4.8912 7.8313 Å, 90.00 90.00 120.00°
Closest atoms and distances in Å follow each position.
Element x y z (fractional)
Si 0.0000 0.0000 0.5000  6 Fe 2.43
Si 0.0000 0.0000 0.0000  6 Fe 2.43
Fe 0.8296 0.1704 0.7500  4 Fe 2.39-2.50, 2 Si 2.43
Fe 0.3409 0.1704 0.7500  4 Fe 2.39-2.50, 2 Si 2.43
Hf 0.3333 0.6667 0.5643  9 Fe 2.82-2.85, 3 Si 2.87, 4 Hf 2.91-3.00
Fe 0.1704 0.8296 0.2500  4 Fe 2.39-2.50, 2 Si 2.43
Hf 0.6667 0.3333 0.4357  9 Fe 2.82-2.85, 3 Si 2.87, 4 Hf 2.91-3.00
Hf 0.3333 0.6667 0.9357  9 Fe 2.82-2.85, 3 Si 2.87, 4 Hf 2.91-3.00
Hf 0.6667 0.3333 0.0643  9 Fe 2.82-2.85, 3 Si 2.87, 4 Hf 2.91-3.00
Fe 0.1704 0.3409 0.2500  4 Fe 2.39-2.50, 2 Si 2.43
Fe 0.6591 0.8296 0.2500  4 Fe 2.39-2.50, 2 Si 2.43
Fe 0.8296 0.6591 0.7500  4 Fe 2.39-2.50, 2 Si 2.43



Entry 4:
Compound: LiRu2Br
Source: the Alexandria database
Functional: SCAN
Structure: PBEsol geometry

Computed properties:
energy relative to the elements, uncorrected	0.243	eV per atom
symmetry	P4mm
ρ	7.8	g/cm3
ΔE to the lowest computed polymorph	0.0	kJ/mol of atoms

Cell: 2.9592 2.9592 7.0683 Å, 90.00 90.00 90.00°
Closest atoms and distances in Å follow each position.
Element x y z (fractional)
Br 0.0000 0.0000 0.5067  4 Li 2.68, 4 Ru 2.89, 4 Br 2.96
Ru 0.0000 0.0000 0.0261  4 Ru 2.52
Ru 0.5000 0.5000 0.2245  4 Ru 2.52
Li 0.5000 0.5000 0.7427  4 Br 2.68, 4 Ru 2.90, 4 Li 2.96



Which value of ρ does entry 3 give? 11.3 g/cm3



Which value of ρ does entry 3 give? 11.3 g/cm3



The highest ρ belongs to which entry? Hf2Fe3Si